Density functional theory data (PBE-GGA) for a relaxed structure of CrRuN3.

Computed properties:
- Crystal system: cubic
- Symmetry: No. 221

POSCAR file:
```
CrRuN3
1.0
3.7959 0.0000 0.0000
0.0000 3.7959 0.0000
0.0000 0.0000 3.7959
Ru N Cr
1 3 1
Cartesian
0.0000 0.0000 0.0000
1.8980 0.0000 0.0000
0.0000 1.8980 0.0000
0.0000 0.0000 1.8980
1.8980 1.8980 1.8980
```

Density functional theory data (PBE-GGA) for a relaxed structure of CrRuSN2.

Computed properties:
- Crystal system: tetragonal
- Symmetry: No. 123

POSCAR file:
```
CrRuSN2
1.0
-1.4526 2.9397 1.4947
-0.8073 -1.9005 2.9533
4.3146 1.1546 1.9224
N S Cr Ru
2 1 1 1
Cartesian
-0.7263 1.4698 0.7473
-0.4037 -0.9503 1.4767
2.1573 0.5773 0.9612
0.0000 0.0000 0.0000
1.0273 1.0969 3.1852
```

Density functional theory data (PBE-GGA) for a relaxed structure of CrRuSN2.

Computed properties:
- Crystal system: tetragonal
- Symmetry: No. 123

POSCAR file:
```
CrRuSN2
1.0
-2.5790 -0.6472 2.6441
2.0063 -2.9136 1.2437
2.5538 3.1511 3.2622
N S Cr Ru
2 1 1 1
Cartesian
1.0032 -1.4568 0.6219
-1.2895 -0.3236 1.3221
1.2769 1.5755 1.6311
0.9906 -0.2049 3.5750
0.0000 0.0000 0.0000
```

The calculation returns the following uncorrected formation energy values, one per record and in order: 1.570, 0.830, 0.712 eV/atom.
The calculation returns the following raw total energy values, one per record and in order: -7.205, -7.105, -7.224 eV per atom.